Computed, not measured: a geometry-optimized Na3Ca2S2Cl3 structure at the GGA-PBE level of DFT.

```
data_Na3Ca2S2Cl3
_symmetry_space_group_name_H-M 'I 4/m m m'
_symmetry_Int_Tables_number 139
_symmetry_space_group_name_Hall '-I 4 2'
_cell_length_a 5.076
_cell_length_b 5.076
_cell_length_c 24.432
_cell_angle_alpha 90.00
_cell_angle_beta 90.00
_cell_angle_gamma 90.00
loop_
_atom_site_label
_atom_site_fract_x
_atom_site_fract_y
_atom_site_fract_z
_atom_site_occupancy
Na1 0.000 0.000 0.000 1
Na2 0.000 0.000 0.396 1
Ca1 0.000 0.500 0.250 1
S1 0.000 0.000 0.287 1
Cl1 0.000 0.000 0.112 1
Cl2 0.000 0.000 0.500 1
```

## Properties
calculated density = 1.7 g/cm3
DOS(E_F) = 0.000 states/eV per cell
size of the total moment = 0.0 μB per formula unit
raw formation energy = -1.67 eV per atom